Record 1
Compound: KSbSe2
Source: Alexandria
Functional: PBE-GGA
Structure: relaxed

## Properties
Energy relative to the elements, uncorrected: -0.33 eV per atom
Crystal system: cubic

Lattice parameters (Å, degrees): 5.260 5.260 5.260 60.00 60.00 60.00
Positions (direct):
1 K 0.000 0.000 0.000
2 Sb 0.500 0.500 0.500
3 Se 0.250 0.250 0.250
4 Se 0.750 0.750 0.750



Record 2
Compound: KSb2Se3
Source: Alexandria
Functional: PBE-GGA
Structure: relaxed

## Properties
Energy relative to the elements, uncorrected: -0.30 eV per atom
Excess energy over the best structure of this formula in the dataset: 0.57 eV/f.u.
Crystal system: orthorhombic

Lattice parameters (Å, degrees): 7.918 7.918 7.003 90.00 90.00 86.23
Positions (direct):
1 K 0.143 0.857 0.750
2 K 0.857 0.143 0.250
3 Sb 0.314 0.314 0.000
4 Sb 0.314 0.314 0.500
5 Sb 0.686 0.686 0.000
6 Sb 0.686 0.686 0.500
7 Se 0.049 0.318 0.750
8 Se 0.318 0.049 0.250
9 Se 0.417 0.583 0.250
10 Se 0.583 0.417 0.750
11 Se 0.682 0.951 0.750
12 Se 0.951 0.682 0.250



Record 3
Compound: KSbSe2
Source: Alexandria
Functional: PBE-GGA
Structure: relaxed

## Properties
Energy relative to the elements, uncorrected: -0.55 eV per atom
Crystal system: orthorhombic

Lattice parameters (Å, degrees): 8.108 8.108 8.108 152.57 150.13 41.00
Positions (direct):
1 K 0.000 0.000 0.000
2 Sb 0.252 0.752 0.500
3 Se 0.384 0.384 0.000
4 Se 0.677 0.177 0.500



| no. | VASP energy (eV per atom) |
| --- | --- |
| 1 | -3.38 |
| 2 | -3.60 |
| 3 | -3.60 |